Computed, not measured: a relaxed Tl3I2Cl crystal at the PBE level of DFT.

Properties
Mass density: 6.020 g cm⁻³
Offset from the most stable computed form: 0.00 eV/f.u.
E_form (uncorrected): -4.62 eV per formula unit
Magnetization: 0.000 μB/f.u.
DOS(E_F): 0.00 states/eV per cell
Final energy: -2.777 eV per atom

Cell: 8.4648 8.4648 9.7097 Å, 106.69 106.69 48.94°
Closest atoms and distances in Å follow each position.
Fractional coordinates of all 12 atoms:
Tl  0.0239  0.9761  0.7500  1 Cl 3.11
Tl  0.3499  0.3504  0.4250  2 Cl 3.28, 4 I 3.52-3.54
Tl  0.3504  0.3499  0.9250  2 Cl 3.28, 4 I 3.52-3.54
Tl  0.6496  0.6501  0.0750  2 Cl 3.28, 4 I 3.52-3.54
Tl  0.6501  0.6496  0.5750  2 Cl 3.28, 4 I 3.52-3.54
Tl  0.9761  0.0239  0.2500  1 Cl 3.11
I  0.1727  0.1746  0.0867  6 Tl 3.52-3.54
I  0.1746  0.1727  0.5867  6 Tl 3.52-3.54
I  0.8254  0.8273  0.4133  6 Tl 3.52-3.54
I  0.8273  0.8254  0.9133  6 Tl 3.52-3.54
Cl  0.4678  0.5322  0.7500  5 Tl 3.11-3.28
Cl  0.5322  0.4678  0.2500  5 Tl 3.11-3.28



Computed, not measured: a relaxed SrCdTe2 crystal at the PBE level of DFT.

Properties
Mass density: 5.681 g cm⁻³
E_form (uncorrected): -3.83 eV per formula unit
Magnetization: 0.000 μB/f.u.
Final energy: -3.177 eV per atom

Cell: 7.8313 7.8313 7.8313 Å, 33.88 33.88 33.88°
Closest atoms and distances in Å follow each position.
Fractional coordinates of all 4 atoms:
Sr  0.0000  0.0000  0.0000  6 Te 3.33
Cd  0.5000  0.5000  0.5000  6 Te 3.11
Te  0.2411  0.2411  0.2411  3 Cd 3.11, 3 Sr 3.33
Te  0.7589  0.7589  0.7589  3 Cd 3.11, 3 Sr 3.33



Computed, not measured: a relaxed Mn2SiSe crystal at the PBE level of DFT.

Properties
Mass density: 5.391 g cm⁻³
Offset from the most stable computed form: 0.24 eV/f.u.
E_form (uncorrected): -0.19 eV per formula unit
Magnetization: 7.055 μB/f.u.
DOS(E_F): 2.36 states/eV per cell
Final energy: -6.858 eV per atom

Cell: 3.6377 3.6377 6.2041 Å, 106.93 106.93 59.76°
Closest atoms and distances in Å follow each position.
Fractional coordinates of all 4 atoms:
Mn  0.2413  0.2413  0.2228  3 Si 2.47, 3 Se 2.65
Mn  0.7587  0.7587  0.7772  3 Si 2.47, 3 Se 2.65
Si  0.5000  0.5000  0.0000  6 Mn 2.47
Se  0.0000  0.0000  0.5000  6 Mn 2.65



Computed, not measured: a relaxed Y2Er2TmMg5 crystal at the PBE level of DFT.

Properties
Mass density: 4.772 g cm⁻³
Formation energy from the elements: 82 meV per atom
Magnetization: 0.000 μB/f.u.
DOS(E_F): 15.56 states/eV per cell
Final energy: -3.368 eV per atom

Cell: 10.5529 10.5529 5.0174 Å, 90.00 90.00 90.00°
Closest atoms and distances in Å follow each position.
Fractional coordinates of all 20 atoms:
Y  0.1783  0.3217  0.0000  3 Er 3.04-3.19
Y  0.3217  0.8217  0.0000  3 Er 3.04-3.19
Y  0.6783  0.1783  0.0000  3 Er 3.04-3.19
Y  0.8217  0.6783  0.0000  3 Er 3.04-3.19
Er  0.1183  0.6183  0.0000  3 Y 3.04-3.19, 6 Mg 3.07-3.22
Er  0.3817  0.1183  0.0000  3 Y 3.04-3.19, 6 Mg 3.07-3.22
Er  0.6183  0.8817  0.0000  3 Y 3.04-3.19, 6 Mg 3.07-3.22
Er  0.8817  0.3817  0.0000  3 Y 3.04-3.19, 6 Mg 3.07-3.22
Tm  0.0000  0.0000  0.0000  8 Mg 3.34
Tm  0.5000  0.5000  0.0000  8 Mg 3.34
Mg  0.0000  0.5000  0.5000  4 Er 3.07, 4 Mg 3.27
Mg  0.0682  0.8025  0.5000  3 Mg 3.12-3.27, 2 Er 3.22, 2 Tm 3.34
Mg  0.1975  0.0682  0.5000  3 Mg 3.12-3.27, 2 Er 3.22, 2 Tm 3.34
Mg  0.3025  0.5682  0.5000  3 Mg 3.12-3.27, 2 Er 3.22, 2 Tm 3.34
Mg  0.4318  0.3025  0.5000  3 Mg 3.12-3.27, 2 Er 3.22, 2 Tm 3.34
Mg  0.5000  0.0000  0.5000  4 Er 3.07, 4 Mg 3.27
Mg  0.5682  0.6975  0.5000  3 Mg 3.12-3.27, 2 Er 3.22, 2 Tm 3.34
Mg  0.6975  0.4318  0.5000  3 Mg 3.12-3.27, 2 Er 3.22, 2 Tm 3.34
Mg  0.8025  0.9318  0.5000  3 Mg 3.12-3.27, 2 Er 3.22, 2 Tm 3.34
Mg  0.9318  0.1975  0.5000  3 Mg 3.12-3.27, 2 Er 3.22, 2 Tm 3.34